# Co2HgSe PBE-GGA optimized geometry
# - Formation energy (no corrections): 0.46 eV/atom
# - Density: 10.0 g/cm3
data_Co2HgSe
_symmetry_space_group_name_H-M 'P 1'
_symmetry_Int_Tables_number 1
_cell_length_a 6.629
_cell_length_b 6.629
_cell_length_c 5.570
_cell_angle_alpha 53.48
_cell_angle_beta 53.48
_cell_angle_gamma 90.00
loop_
_symmetry_equiv_pos_as_xyz
'x,y,z'
loop_
_atom_site_label
_atom_site_fract_x
_atom_site_fract_y
_atom_site_fract_z
Co1 0.568 0.125 0.250
Co2 0.182 0.625 0.250
Co3 0.375 0.432 0.750
Co4 0.875 0.818 0.750
Hg1 0.000 0.000 0.000
Hg2 0.750 0.250 0.500
Se1 0.500 0.500 0.000
Se2 0.250 0.750 0.500

***

# SmH6Pd8 PBE-GGA optimized geometry
# - VASP energy: -70.8 eV for the cell shown
# - Density: 10.1 g/cm3
data_SmH6Pd8
_symmetry_space_group_name_H-M 'P 1'
_symmetry_Int_Tables_number 1
_cell_length_a 6.579
_cell_length_b 6.577
_cell_length_c 8.091
_cell_angle_alpha 65.03
_cell_angle_beta 55.19
_cell_angle_gamma 35.26
loop_
_symmetry_equiv_pos_as_xyz
'x,y,z'
loop_
_atom_site_label
_atom_site_fract_x
_atom_site_fract_y
_atom_site_fract_z
Sm1 0.000 0.000 0.000
H1 0.106 0.391 0.282
H2 0.595 0.302 0.714
H3 0.302 0.909 0.612
H4 0.698 0.091 0.388
H5 0.405 0.698 0.286
H6 0.894 0.609 0.718
Pd1 0.786 0.446 0.660
Pd2 0.893 0.221 0.328
Pd3 0.560 0.884 0.324
Pd4 0.332 0.331 0.999
Pd5 0.668 0.669 0.001
Pd6 0.440 0.116 0.676
Pd7 0.107 0.779 0.672
Pd8 0.214 0.554 0.340

***

Q: What is the density in the second record?
A: 10.1 g/cm3